{"formula": "ThNpSb2Pd2", "functional": "PBE-GGA", "state": "relaxed", "cell": [[4.584, 0.000, 0.000], [-2.292, 3.970, 0.000], [0.000, 0.000, 7.918]], "species": ["Th", "Np", "Sb", "Sb", "Pd", "Pd"], "fractional_positions": [[0.000, 0.000, 0.000], [0.000, 0.000, 0.500], [0.667, 0.333, 0.731], [0.333, 0.667, 0.269], [0.667, 0.333, 0.224], [0.333, 0.667, 0.776]], "m_tot_mub_per_cell": 4.61, "formation_energy_uncorrected_ev_per_atom": -0.678, "final_energy_ev_per_cell": -43.057, "volume_a3_per_cell": 144}